# 1
First-principles (GGA-PBE) data for a relaxed structure of RbNaCd2, as listed in the Alexandria database.

```
RbNaCd2
1.0
2.674 1.544 6.447
-2.674 1.544 6.447
0.000 -3.087 6.447
Rb Na Cd
1 1 2
Cartesian
0.000 0.000 0.000 Rb
0.000 0.000 9.671 Na
0.000 0.000 3.692 Cd
0.000 0.000 15.651 Cd
```

The calculated formation energy comes out at -35 meV/atom. The raw total energy is -1.06 eV per atom. The relative energy among the computed polymorphs is 28 meV per atom. The space group is No. 166.


# 2
First-principles (GGA-PBE) data for a relaxed structure of TaAs2PBr, as listed in the Alexandria database.

```
TaAs2PBr
1.0
5.070 0.000 0.000
0.000 5.070 0.000
0.000 0.000 5.034
Ta As P Br
1 2 1 1
Cartesian
0.000 0.000 0.000 Ta
0.000 2.535 0.000 As
2.535 0.000 0.000 As
2.535 2.535 2.517 P
0.000 0.000 2.517 Br
```

The raw total energy is -4.96 eV per atom. The relative energy among the computed polymorphs is 0 meV per atom. The space group is No. 123. The value obtained for the formation energy without anion corrections is 3.4 eV/f.u.


# 3
First-principles (GGA-PBE) data for a relaxed structure of KSiIr2, as listed in the Alexandria database.

```
KSiIr2
1.0
-2.311 2.311 3.190
2.311 -2.311 3.190
2.311 2.311 -3.190
K Si Ir
1 1 2
Cartesian
0.000 0.000 0.000 K
0.000 2.311 1.595 Si
2.311 0.000 1.595 Ir
0.000 0.000 3.190 Ir
```

The raw total energy is -5.11 eV per atom. The space group is No. 119. The value obtained for the formation energy without anion corrections is 3.8 eV/f.u.